{
  "formula": "Ag2Pd6Pb",
  "functional": "PBE",
  "state": "relaxed",
  "delta_e_f_ev_per_atom": -0.072,
  "dos_at_fermi_per_ev_atom": 0.64,
  "e_tot_ev_per_cell": -41.22,
  "space_group": "C2/m (12)",
  "lattice_angstrom": [[4.759, 0.000, 0.000], [-2.380, 3.817, -0.226], [0.001, -0.500, 8.407]],
  "species": ["Ag", "Ag", "Pd", "Pd", "Pd", "Pd", "Pd", "Pd", "Pb"],
  "frac_coords": [[0.658, 0.316, 0.264], [0.342, 0.684, 0.736], [0.993, 0.986, 0.163], [0.328, 0.656, 0.389], [0.672, 0.343, 0.944], [0.007, 0.014, 0.837], [0.672, 0.344, 0.611], [0.328, 0.657, 0.056], [0.000, 0.000, 0.500]]
}